DFT (PBE) results for a relaxed Na4Y3AsO8 crystal.

Calculated values
formation energy without anion corrections: -2.369 eV per atom
uncorrected energy: -6.6804 eV per atom

Structure (extended XYZ):
```
16
Lattice="-0.6911 3.8113 5.5483 -6.4969 -1.9643 0.5401 4.9032 -4.6528 -0.3194" Properties=species:S:1:pos:R:3 pbc="T T T"
Na -0.3455 1.9057 2.7741
Na 2.1060 -0.4207 2.6145
Y -0.7969 -3.3086 0.1104
Y -1.1424 -1.4029 2.8845
O -2.2880 2.2543 4.3958
O -2.4958 -2.6888 1.5361
Na 2.4516 -2.3264 -0.1597
O 0.5226 -2.0101 1.4459
O 0.0032 -5.0601 1.3733
O -1.9358 0.3117 1.5679
O 0.2110 -0.1170 4.2329
O -0.3490 -3.1175 4.2012
As -3.2485 -0.9822 0.2701
O -2.8074 -0.7957 4.3232
Y -3.5940 0.9235 3.0442
Na 0.0000 0.0000 0.0000
```